Entry from the Open Quantum Materials Database: crystalline K5H2Pd2I10O30 at its relaxed geometry (PBE).

Cell lengths 8.098, 8.098, 12.780 Å; angles 107.26, 107.26, 91.10 degrees
Sites, in units of the cell vectors:
1 I 0.639 0.639 0.276
2 I 0.119 0.627 0.246
3 I 0.759 0.759 0.963
4 I 0.241 0.241 0.037
5 I 0.910 0.910 0.774
6 I 0.373 0.881 0.754
7 I 0.881 0.373 0.754
8 I 0.627 0.119 0.246
9 I 0.090 0.090 0.226
10 I 0.361 0.361 0.724
11 O 0.375 0.375 0.969
12 O 0.298 0.589 0.179
13 O 0.865 0.167 0.318
14 O 0.833 0.135 0.682
15 O 0.035 0.273 0.941
16 O 0.878 0.642 0.329
17 O 0.167 0.865 0.318
18 O 0.780 0.780 0.625
19 O 0.580 0.226 0.382
20 O 0.273 0.042 0.163
21 O 0.642 0.878 0.329
22 O 0.226 0.580 0.382
23 O 0.625 0.625 0.031
24 O 0.965 0.727 0.059
25 O 0.122 0.358 0.671
26 O 0.135 0.833 0.682
27 O 0.958 0.727 0.837
28 O 0.589 0.298 0.179
29 O 0.596 0.596 0.400
30 O 0.702 0.411 0.821
31 O 0.727 0.958 0.837
32 O 0.358 0.122 0.671
33 O 0.774 0.420 0.618
34 O 0.420 0.774 0.618
35 O 0.042 0.273 0.163
36 O 0.727 0.965 0.059
37 O 0.273 0.035 0.941
38 O 0.404 0.404 0.600
39 O 0.411 0.702 0.821
40 O 0.220 0.220 0.375
41 K 0.000 0.500 0.500
42 K 0.500 0.000 0.500
43 K 0.739 0.261 0.000
44 K 0.261 0.739 0.000
45 K 0.000 0.000 0.500
46 H 0.545 0.545 0.960
47 H 0.455 0.455 0.040
48 Pd 0.405 0.405 0.380
49 Pd 0.595 0.595 0.620

Computed properties:
For the electronic total energy, the calculation gives -4.426 eV per atom.

***

Entry from the Open Quantum Materials Database: crystalline LaNpH2I4 at its relaxed geometry (PBE).

Cell lengths 4.132, 4.132, 16.163 Å; angles 90.00, 90.00, 120.00 degrees
Sites, in units of the cell vectors:
1 Np 0.000 0.000 0.000
2 I 0.333 0.667 0.131
3 I 0.667 0.333 0.637
4 I 0.333 0.667 0.869
5 I 0.667 0.333 0.363
6 H 0.333 0.667 0.500
7 H 0.667 0.333 0.000
8 La 0.000 0.000 0.500

Computed properties:
For the electronic total energy, the calculation gives -4.848 eV per atom. The value obtained for the size of the total moment is 4.02 μB/f.u.

***

Entry from the Open Quantum Materials Database: crystalline LaPuH2I4 at its relaxed geometry (PBE).

Cell lengths 4.153, 4.153, 16.270 Å; angles 90.00, 90.00, 120.00 degrees
Sites, in units of the cell vectors:
1 La 0.000 0.000 0.000
2 H 0.333 0.667 0.000
3 H 0.667 0.333 0.500
4 I 0.333 0.667 0.371
5 I 0.667 0.333 0.865
6 I 0.667 0.333 0.135
7 I 0.333 0.667 0.629
8 Pu 0.000 0.000 0.500

Computed properties:
For the electronic total energy, the calculation gives -5.117 eV per atom. The value obtained for the size of the total moment is 5.00 μB/f.u.